A geometry-optimized PmHo2Ni2 structure, computed with PBE.

abc: 11.5739 3.7933 5.4964
angles: 90.00 104.01 90.00
Space group C2/m (No. 12)
Symmetry-distinct sites (fractional):
Pm (0.0000, 0.0000, 0.0000) x2
Ho (0.1488, 0.5000, 0.5878) x4
Ni (0.2178, 0.5000, 0.1142) x4

Results
The calculation puts the formation energy at -0.23 eV/atom.

***

A geometry-optimized Sn3WAu structure, computed with PBE.

abc: 5.2871 5.2871 5.2871
angles: 90.00 90.00 90.00
Space group Pm-3m (No. 221)
Symmetry-distinct sites (fractional):
Sn (0.0000, 0.0000, 0.5000) x3
W (0.5000, 0.5000, 0.5000) x1
Au (0.0000, 0.0000, 0.0000) x1

Results
The calculation puts the formation energy at 1.36 eV/atom. The offset from the most stable computed form is 0.8038 eV/atom.

***

A geometry-optimized Nd3Dy2Cd3 structure, computed with PBE.

abc: 3.7812 5.5122 22.5621
angles: 90.00 90.00 90.00
Space group Immm (No. 71)
Symmetry-distinct sites (fractional):
Nd (0.0000, 0.0000, 0.0000) x2
Nd (0.0000, 0.5000, 0.1240) x4
Dy (0.0000, 0.0000, 0.2348) x4
Cd (0.0000, 0.0000, 0.5000) x2
Cd (0.0000, 0.5000, 0.3792) x4

Results
The calculation puts the formation energy at -0.24 eV/atom.

***

A geometry-optimized LiCrIn2 structure, computed with PBE.

abc: 4.2542 4.2542 18.5478
angles: 90.00 90.00 90.00
Space group I-42d (No. 122)
Symmetry-distinct sites (fractional):
Li (0.0000, 0.0000, 0.0000) x4
Cr (0.0000, 0.0000, 0.5000) x4
In (0.2377, 0.2500, 0.6250) x8

Results
The calculation puts the formation energy at 0.74 eV/atom.

***

A geometry-optimized BaRu2Au structure, computed with PBE.

abc: 3.1721 5.0406 5.1504
angles: 90.00 90.00 90.00
Space group Pmmm (No. 47)
Symmetry-distinct sites (fractional):
Ba (0.0000, 0.0000, 0.0000) x1
Ru (0.0000, 0.5000, 0.5000) x1
Ru (0.5000, 0.5000, 0.0000) x1
Au (0.5000, 0.0000, 0.5000) x1

Results
The calculation puts the formation energy at 0.86 eV/atom. The offset from the most stable computed form is 0.7335 eV/atom.

***

A geometry-optimized La6Nd8Pb structure, computed with PBE.

abc: 9.5544 9.5544 6.8156
angles: 90.00 90.00 120.00
Space group P-3 (No. 147)
Symmetry-distinct sites (fractional):
La (0.0878, 0.6473, 0.1667) x6
Nd (0.0390, 0.7724, 0.6763) x6
Nd (0.3333, 0.6667, 0.6238) x2
Pb (0.0000, 0.0000, 0.0000) x1

Results
The calculation puts the formation energy at 0.03 eV/atom.

***

A geometry-optimized Sr3Zr2UAs6 structure, computed with PBE.

abc: 7.1116 12.3148 7.4876
angles: 90.00 108.46 90.00
Space group C2/m (No. 12)
Symmetry-distinct sites (fractional):
Sr (0.0000, 0.0000, 0.0000) x2
Sr (0.0000, 0.3337, 0.0000) x4
Zr (0.0000, 0.1666, 0.5000) x4
U (0.0000, 0.5000, 0.5000) x2
As (0.2346, 0.0000, 0.7132) x4
As (0.2395, 0.3317, 0.7140) x8

Results
The calculation puts the formation energy at -1.09 eV/atom.

***

A geometry-optimized AcSi3Tc structure, computed with PBE.

abc: 4.3984 4.3984 10.1357
angles: 90.00 90.00 90.00
Space group I4mm (No. 107)
Symmetry-distinct sites (fractional):
Ac (0.0000, 0.0000, 0.0000) x2
Si (0.0000, 0.0000, 0.4149) x2
Si (0.0000, 0.5000, 0.2581) x4
Tc (0.0000, 0.0000, 0.6533) x2

Results
The calculated total energy is -6.6242 eV per atom.

***

| no. | magnetization (μB per formula unit) | calculated density (g/cm³) |
| --- | --- | --- |
| 1 | 0.0 | 8.401 |
| 2 | 3.8 | 8.280 |
| 3 | 0.0 | 7.733 |
| 4 | 0.0 | 5.710 |
| 5 | 2.1 | 10.817 |
| 6 | 0.0 | 6.763 |
| 7 | 1.7 | 6.049 |
| 8 | 0.0 | 6.932 |